{
  "formula": "LiCr3O9",
  "functional": "PBE+U",
  "state": "relaxed",
  "lattice_angstrom": [[7.2463, -3.5541, 0.0000], [7.2463, 3.5541, 0.0000], [-6.2533, 0.0000, 8.3384]],
  "species": ["Li", "Li", "Cr", "Cr", "Cr", "Cr", "Cr", "Cr", "O", "O", "O", "O", "O", "O", "O", "O", "O", "O", "O", "O", "O", "O", "O", "O", "O", "O"],
  "frac_coords": [[0.2360, 0.7640, 0.5000], [0.7640, 0.2360, 0.0000], [0.0228, 0.2530, 0.8246], [0.2530, 0.0228, 0.3246], [0.2780, 0.4647, 0.6787], [0.4647, 0.2780, 0.1787], [0.6958, 0.7897, 0.2319], [0.7897, 0.6958, 0.7319], [0.0878, 0.1294, 0.1811], [0.1294, 0.0878, 0.6811], [0.1485, 0.9144, 0.3352], [0.2180, 0.3066, 0.0006], [0.3031, 0.6336, 0.6585], [0.3066, 0.2180, 0.5006], [0.3918, 0.4408, 0.3401], [0.4408, 0.3918, 0.8401], [0.5056, 0.8117, 0.2833], [0.5467, 0.7900, 0.6089], [0.5616, 0.9825, 0.1407], [0.6336, 0.3031, 0.1585], [0.7900, 0.5467, 0.1089], [0.8117, 0.5056, 0.7833], [0.8255, 0.8948, 0.8913], [0.8948, 0.8255, 0.3913], [0.9144, 0.1485, 0.8352], [0.9825, 0.5616, 0.6407]],
  "energy_ev_per_atom": -6.56,
  "space_group": "No. 9",
  "magmom_total_mub_per_fu": 1.00,
  "crystal_system": "monoclinic"
}